(1)
# Ac2NdDyEr (PBE-GGA, optimized geometry)
# Formation energy, meV per atom: 271
# Size of the total moment, μB per formula unit: 0.00
# SG: Pmma
data_Ac2NdDyEr
_cell_length_a 6.4455
_cell_length_b 9.0186
_cell_length_c 6.6758
_cell_angle_alpha 90.00
_cell_angle_beta 90.00
_cell_angle_gamma 90.00
_symmetry_space_group_name_H-M 'P 1'
_symmetry_Int_Tables_number 1
loop_
_symmetry_equiv_pos_as_xyz
'x,y,z'
loop_
_atom_site_label
_atom_site_type_symbol
_atom_site_fract_x
_atom_site_fract_y
_atom_site_fract_z
Ac1 Ac 0.2500 0.2028 0.2132
Ac2 Ac 0.2500 0.7972 0.2132
Ac3 Ac 0.7500 0.2028 0.7868
Ac4 Ac 0.7500 0.7972 0.7868
Nd1 Nd 0.2500 0.5000 0.9206
Nd2 Nd 0.7500 0.5000 0.0794
Dy1 Dy 0.2500 0.0000 0.6857
Dy2 Dy 0.7500 0.0000 0.3143
Er1 Er 0.0000 0.5000 0.5000
Er2 Er 0.5000 0.5000 0.5000

***

(2)
# La2SmDy9 (PBE-GGA, optimized geometry)
# Formation energy, meV per atom: 27
# Relative energy among the computed polymorphs, eV/f.u.: 0.00
# Size of the total moment, μB per formula unit: 0.00
# SG: P4/mmm
data_La2SmDy9
_cell_length_a 5.0710
_cell_length_b 5.0710
_cell_length_c 15.2208
_cell_angle_alpha 90.00
_cell_angle_beta 90.00
_cell_angle_gamma 90.00
_symmetry_space_group_name_H-M 'P 1'
_symmetry_Int_Tables_number 1
loop_
_symmetry_equiv_pos_as_xyz
'x,y,z'
loop_
_atom_site_label
_atom_site_type_symbol
_atom_site_fract_x
_atom_site_fract_y
_atom_site_fract_z
La1 La 0.0000 0.0000 0.1664
La2 La 0.0000 0.0000 0.8336
Sm1 Sm 0.0000 0.0000 0.5000
Dy1 Dy 0.0000 0.5000 0.0000
Dy2 Dy 0.0000 0.5000 0.3358
Dy3 Dy 0.0000 0.5000 0.6642
Dy4 Dy 0.5000 0.0000 0.0000
Dy5 Dy 0.5000 0.0000 0.3358
Dy6 Dy 0.5000 0.0000 0.6642
Dy7 Dy 0.5000 0.5000 0.1682
Dy8 Dy 0.5000 0.5000 0.5000
Dy9 Dy 0.5000 0.5000 0.8318

***

(3)
# Zr4In3Au (PBE-GGA, optimized geometry)
# Formation energy, meV per atom: -372
# Size of the total moment, μB per formula unit: 0.00
# SG: P4/mmm
data_Zr4In3Au
_cell_length_a 3.1513
_cell_length_b 3.1513
_cell_length_c 17.3548
_cell_angle_alpha 90.00
_cell_angle_beta 90.00
_cell_angle_gamma 90.00
_symmetry_space_group_name_H-M 'P 1'
_symmetry_Int_Tables_number 1
loop_
_symmetry_equiv_pos_as_xyz
'x,y,z'
loop_
_atom_site_label
_atom_site_type_symbol
_atom_site_fract_x
_atom_site_fract_y
_atom_site_fract_z
Zr1 Zr 0.0000 0.0000 0.1154
Zr2 Zr 0.0000 0.0000 0.3715
Zr3 Zr 0.0000 0.0000 0.6285
Zr4 Zr 0.0000 0.0000 0.8846
In1 In 0.5000 0.5000 0.2433
In2 In 0.5000 0.5000 0.5000
In3 In 0.5000 0.5000 0.7567
Au1 Au 0.5000 0.5000 0.0000

***

(4)
# Tb4Co10Si (PBE-GGA, optimized geometry)
# Size of the total moment, μB per formula unit: 14.82
# SG: I4_1/amd
# Formation energy from raw total energies, eV per atom: 0.15
data_Tb4Co10Si
_cell_length_a 10.6716
_cell_length_b 10.6716
_cell_length_c 10.6716
_cell_angle_alpha 92.92
_cell_angle_beta 92.92
_cell_angle_gamma 153.91
_symmetry_space_group_name_H-M 'P 1'
_symmetry_Int_Tables_number 1
loop_
_symmetry_equiv_pos_as_xyz
'x,y,z'
loop_
_atom_site_label
_atom_site_type_symbol
_atom_site_fract_x
_atom_site_fract_y
_atom_site_fract_z
Tb1 Tb 0.0195 0.1237 0.6042
Tb2 Tb 0.0195 0.4153 0.8958
Tb3 Tb 0.1237 0.0195 0.1042
Tb4 Tb 0.4153 0.0195 0.3958
Tb5 Tb 0.5847 0.9805 0.6042
Tb6 Tb 0.8763 0.9805 0.8958
Tb7 Tb 0.9805 0.5847 0.1042
Tb8 Tb 0.9805 0.8763 0.3958
Co1 Co 0.0000 0.5000 0.5000
Co2 Co 0.1104 0.2523 0.3438
Co3 Co 0.1104 0.7666 0.8581
Co4 Co 0.2334 0.5915 0.3438
Co5 Co 0.2334 0.8896 0.6419
Co6 Co 0.2523 0.1104 0.8438
Co7 Co 0.2523 0.4085 0.1419
Co8 Co 0.4085 0.2523 0.6419
Co9 Co 0.4085 0.7666 0.1562
Co10 Co 0.5000 0.0000 0.0000
Co11 Co 0.5000 0.5000 0.0000
Co12 Co 0.5000 0.5000 0.5000
Co13 Co 0.5915 0.2334 0.8438
Co14 Co 0.5915 0.7477 0.3581
Co15 Co 0.7477 0.5915 0.8581
Co16 Co 0.7477 0.8896 0.1562
Co17 Co 0.7666 0.1104 0.3581
Co18 Co 0.7666 0.4085 0.6562
Co19 Co 0.8896 0.2334 0.1419
Co20 Co 0.8896 0.7477 0.6562
Si1 Si 0.3750 0.6250 0.7500
Si2 Si 0.6250 0.3750 0.2500

***

(5)
# TlPtAu2 (PBE-GGA, optimized geometry)
# Formation energy, meV per atom: 77
# Relative energy among the computed polymorphs, eV/f.u.: 0.00
# Size of the total moment, μB per formula unit: 0.00
# SG: P4/mmm
data_TlPtAu2
_cell_length_a 4.1454
_cell_length_b 4.1454
_cell_length_c 4.3718
_cell_angle_alpha 90.00
_cell_angle_beta 90.00
_cell_angle_gamma 90.00
_symmetry_space_group_name_H-M 'P 1'
_symmetry_Int_Tables_number 1
loop_
_symmetry_equiv_pos_as_xyz
'x,y,z'
loop_
_atom_site_label
_atom_site_type_symbol
_atom_site_fract_x
_atom_site_fract_y
_atom_site_fract_z
Tl1 Tl 0.0000 0.0000 0.0000
Pt1 Pt 0.5000 0.5000 0.0000
Au1 Au 0.0000 0.5000 0.5000
Au2 Au 0.5000 0.0000 0.5000

***

(6)
# CuPd3Pb (PBE-GGA, optimized geometry)
# Formation energy, meV per atom: -61
# Relative energy among the computed polymorphs, eV/f.u.: 0.00
# Size of the total moment, μB per formula unit: 0.00
# SG: C2/m
data_CuPd3Pb
_cell_length_a 8.5124
_cell_length_b 8.5124
_cell_length_c 4.7785
_cell_angle_alpha 99.61
_cell_angle_beta 99.61
_cell_angle_gamma 32.09
_symmetry_space_group_name_H-M 'P 1'
_symmetry_Int_Tables_number 1
loop_
_symmetry_equiv_pos_as_xyz
'x,y,z'
loop_
_atom_site_label
_atom_site_type_symbol
_atom_site_fract_x
_atom_site_fract_y
_atom_site_fract_z
Cu1 Cu 0.1289 0.1289 0.3538
Cu2 Cu 0.8711 0.8711 0.6462
Pd1 Pd 0.0375 0.0375 0.7708
Pd2 Pd 0.2091 0.2091 0.8861
Pd3 Pd 0.2988 0.2988 0.4471
Pd4 Pd 0.7012 0.7012 0.5529
Pd5 Pd 0.7909 0.7909 0.1139
Pd6 Pd 0.9625 0.9625 0.2292
Pb1 Pb 0.3916 0.3916 0.9989
Pb2 Pb 0.6084 0.6084 0.0011

***

(7)
# Ti12FeAs6 (PBE-GGA, optimized geometry)
# Formation energy, meV per atom: -461
# Size of the total moment, μB per formula unit: 0.01
# SG: R-3
data_Ti12FeAs6
_cell_length_a 7.1446
_cell_length_b 7.1446
_cell_length_c 7.1446
_cell_angle_alpha 100.01
_cell_angle_beta 100.01
_cell_angle_gamma 100.01
_symmetry_space_group_name_H-M 'P 1'
_symmetry_Int_Tables_number 1
loop_
_symmetry_equiv_pos_as_xyz
'x,y,z'
loop_
_atom_site_label
_atom_site_type_symbol
_atom_site_fract_x
_atom_site_fract_y
_atom_site_fract_z
Ti1 Ti 0.0179 0.6829 0.9404
Ti2 Ti 0.0596 0.9821 0.3171
Ti3 Ti 0.1843 0.4207 0.5601
Ti4 Ti 0.3171 0.0596 0.9821
Ti5 Ti 0.4207 0.5601 0.1843
Ti6 Ti 0.4399 0.8157 0.5793
Ti7 Ti 0.5601 0.1843 0.4207
Ti8 Ti 0.5793 0.4399 0.8157
Ti9 Ti 0.6829 0.9404 0.0179
Ti10 Ti 0.8157 0.5793 0.4399
Ti11 Ti 0.9404 0.0179 0.6829
Ti12 Ti 0.9821 0.3171 0.0596
Fe1 Fe 0.0000 0.0000 0.0000
As1 As 0.1293 0.6404 0.3128
As2 As 0.3128 0.1293 0.6404
As3 As 0.3596 0.6872 0.8707
As4 As 0.6404 0.3128 0.1293
As5 As 0.6872 0.8707 0.3596
As6 As 0.8707 0.3596 0.6872

***

(8)
# Pa2Co5Si2 (PBE-GGA, optimized geometry)
# Size of the total moment, μB per formula unit: 1.00
# SG: P4/mmm
# Formation energy from raw total energies, eV per atom: -0.56
data_Pa2Co5Si2
_cell_length_a 3.9366
_cell_length_b 3.9366
_cell_length_c 8.3050
_cell_angle_alpha 90.00
_cell_angle_beta 90.00
_cell_angle_gamma 90.00
_symmetry_space_group_name_H-M 'P 1'
_symmetry_Int_Tables_number 1
loop_
_symmetry_equiv_pos_as_xyz
'x,y,z'
loop_
_atom_site_label
_atom_site_type_symbol
_atom_site_fract_x
_atom_site_fract_y
_atom_site_fract_z
Pa1 Pa 0.0000 0.0000 0.0000
Pa2 Pa 0.0000 0.0000 0.5000
Co1 Co 0.0000 0.5000 0.2233
Co2 Co 0.0000 0.5000 0.7767
Co3 Co 0.5000 0.0000 0.2233
Co4 Co 0.5000 0.0000 0.7767
Co5 Co 0.5000 0.5000 0.0000
Si1 Si 0.5000 0.5000 0.3542
Si2 Si 0.5000 0.5000 0.6458

***

(9)
# K4Sm3TmTe8 (PBE-GGA, optimized geometry)
# Size of the total moment, μB per formula unit: 0.00
# SG: R-3m
# Formation energy from raw total energies, eV per atom: -1.40
data_K4Sm3TmTe8
_cell_length_a 9.7767
_cell_length_b 9.7767
_cell_length_c 9.7767
_cell_angle_alpha 55.38
_cell_angle_beta 55.38
_cell_angle_gamma 55.38
_symmetry_space_group_name_H-M 'P 1'
_symmetry_Int_Tables_number 1
loop_
_symmetry_equiv_pos_as_xyz
'x,y,z'
loop_
_atom_site_label
_atom_site_type_symbol
_atom_site_fract_x
_atom_site_fract_y
_atom_site_fract_z
K1 K 0.0000 0.0000 0.0000
K2 K 0.0000 0.5000 0.5000
K3 K 0.5000 0.0000 0.5000
K4 K 0.5000 0.5000 0.0000
Sm1 Sm 0.0000 0.0000 0.5000
Sm2 Sm 0.0000 0.5000 0.0000
Sm3 Sm 0.5000 0.0000 0.0000
Tm1 Tm 0.5000 0.5000 0.5000
Te1 Te 0.2378 0.2378 0.2378
Te2 Te 0.2435 0.7332 0.7332
Te3 Te 0.2668 0.2668 0.7565
Te4 Te 0.2668 0.7565 0.2668
Te5 Te 0.7332 0.2435 0.7332
Te6 Te 0.7332 0.7332 0.2435
Te7 Te 0.7565 0.2668 0.2668
Te8 Te 0.7622 0.7622 0.7622

***

(10)
# CaTaTc2 (PBE-GGA, optimized geometry)
# Formation energy, meV per atom: 472
# Relative energy among the computed polymorphs, eV/f.u.: 1.16
# Size of the total moment, μB per formula unit: 0.00
# SG: C2/m
data_CaTaTc2
_cell_length_a 5.4093
_cell_length_b 5.4093
_cell_length_c 2.7390
_cell_angle_alpha 101.01
_cell_angle_beta 101.01
_cell_angle_gamma 111.39
_symmetry_space_group_name_H-M 'P 1'
_symmetry_Int_Tables_number 1
loop_
_symmetry_equiv_pos_as_xyz
'x,y,z'
loop_
_atom_site_label
_atom_site_type_symbol
_atom_site_fract_x
_atom_site_fract_y
_atom_site_fract_z
Ca1 Ca 0.0000 0.0000 0.0000
Ta1 Ta 0.5000 0.5000 0.0000
Tc1 Tc 0.0000 0.5000 0.5000
Tc2 Tc 0.5000 0.0000 0.5000

***

(11)
# MoSICl2 (PBE-GGA, optimized geometry)
# Relative energy among the computed polymorphs, eV/f.u.: 5.63
# Size of the total moment, μB per formula unit: 4.73
# SG: P4/mmm
# Formation energy from raw total energies, eV per atom: 1.06
data_MoSICl2
_cell_length_a 5.4531
_cell_length_b 5.4531
_cell_length_c 5.2045
_cell_angle_alpha 90.00
_cell_angle_beta 90.00
_cell_angle_gamma 90.00
_symmetry_space_group_name_H-M 'P 1'
_symmetry_Int_Tables_number 1
loop_
_symmetry_equiv_pos_as_xyz
'x,y,z'
loop_
_atom_site_label
_atom_site_type_symbol
_atom_site_fract_x
_atom_site_fract_y
_atom_site_fract_z
Mo1 Mo 0.0000 0.0000 0.0000
S1 S 0.5000 0.5000 0.0000
I1 I 0.5000 0.5000 0.5000
Cl1 Cl 0.0000 0.5000 0.5000
Cl2 Cl 0.5000 0.0000 0.5000

***

(12)
# TbEr8Pb6 (PBE-GGA, optimized geometry)
# Formation energy, meV per atom: -314
# Size of the total moment, μB per formula unit: 0.00
# SG: R-3
data_TbEr8Pb6
_cell_length_a 8.3956
_cell_length_b 8.3956
_cell_length_c 8.3956
_cell_angle_alpha 65.34
_cell_angle_beta 65.34
_cell_angle_gamma 65.34
_symmetry_space_group_name_H-M 'P 1'
_symmetry_Int_Tables_number 1
loop_
_symmetry_equiv_pos_as_xyz
'x,y,z'
loop_
_atom_site_label
_atom_site_type_symbol
_atom_site_fract_x
_atom_site_fract_y
_atom_site_fract_z
Tb1 Tb 0.0000 0.0000 0.0000
Er1 Er 0.1054 0.4377 0.7728
Er2 Er 0.2272 0.8946 0.5623
Er3 Er 0.3333 0.3333 0.3333
Er4 Er 0.4377 0.7728 0.1054
Er5 Er 0.5623 0.2272 0.8946
Er6 Er 0.6667 0.6667 0.6667
Er7 Er 0.7728 0.1054 0.4377
Er8 Er 0.8946 0.5623 0.2272
Pb1 Pb 0.0689 0.7339 0.4039
Pb2 Pb 0.2661 0.5961 0.9311
Pb3 Pb 0.4039 0.0689 0.7339
Pb4 Pb 0.5961 0.9311 0.2661
Pb5 Pb 0.7339 0.4039 0.0689
Pb6 Pb 0.9311 0.2661 0.5961